First-principles (GGA-PBEsol) data for a relaxed CaMgTeN2 crystal, as listed in the Alexandria database.

abc: 4.2972 4.2972 5.6449
angles: 90.00 90.00 90.00
Space group P4/mmm (No. 123)
Symmetry-distinct sites (fractional):
Ca (0.0000, 0.0000, 0.0000) x1
Mg (0.5000, 0.5000, 0.5000) x1
Te (0.5000, 0.5000, 0.0000) x1
N (0.0000, 0.5000, 0.5000) x2

Formation energy without anion corrections = 0.526 eV per atom
Size of the total moment = 4.007 Bohr magnetons per cell
E_tot = -4.360 eV per atom

First-principles (GGA-PBEsol) data for a relaxed KCaMg4 crystal, as listed in the Alexandria database.

abc: 8.9521 8.9521 8.9521
angles: 90.00 90.00 90.00
Space group F-43m (No. 216)
Symmetry-distinct sites (fractional):
K (0.0000, 0.0000, 0.0000) x4
Ca (0.2500, 0.2500, 0.7500) x4
Mg (0.1241, 0.1241, 0.3759) x16

Formation energy from the elements = 41 meV/atom
Size of the total moment = 0.002 Bohr magnetons per cell
E_tot = -1.648 eV per atom

First-principles (GGA-PBEsol) data for a relaxed CaClF3 crystal, as listed in the Alexandria database.

abc: 4.4309 4.4309 4.4309
angles: 90.00 90.00 90.00
Space group Pm-3m (No. 221)
Symmetry-distinct sites (fractional):
Ca (0.0000, 0.0000, 0.0000) x1
Cl (0.5000, 0.5000, 0.5000) x1
F (0.0000, 0.5000, 0.5000) x3

Formation energy without anion corrections = -1.417 eV per atom
Size of the total moment = 0.164 Bohr magnetons per cell
E_tot = -3.402 eV per atom